P:
## Tl2In3Sn4 (PBE-GGA)

Data for a geometry-optimized Tl2In3Sn4 structure.

abc: 13.675 3.454 11.235
angles: 90.00 105.53 90.00
Space group C2/m (No. 12)
One atom of each set of equivalent atoms:
Tl1 0.175 0.000 0.231 (multiplicity 4)
In1 0.000 0.500 0.000 (multiplicity 2)
In2 0.154 0.000 0.534 (multiplicity 4)
Sn1 0.017 0.500 0.676 (multiplicity 4)
Sn2 0.161 0.000 0.901 (multiplicity 4)

=====

Q:
## Tl2In3Sn4 (PBE-GGA)

Data for a geometry-optimized Tl2In3Sn4 structure.

abc: 6.490 18.627 8.975
angles: 90.00 90.00 90.00
Space group Cmce (No. 64)
One atom of each set of equivalent atoms:
Tl1 0.000 0.090 0.105 (multiplicity 8)
In1 0.000 0.000 0.500 (multiplicity 4)
In2 0.250 0.245 0.750 (multiplicity 8)
Sn1 0.000 0.171 0.493 (multiplicity 8)
Sn2 0.250 0.074 0.750 (multiplicity 8)

=====

Of them, the most stable is P and the least stable is Q.